Record 1
## Th4Fe2Hg5 (PBE)

Data for a relaxed structure of Th4Fe2Hg5.

## Properties
Total magnetic moment   0.0 μB per formula unit
Formation energy   -4.71 kcal/mol of atoms
ρ   12.4 g cm⁻³
Crystal system   monoclinic
DOS at the Fermi energy   8.93 states/eV/cell

Cell: 3.644 7.926 9.529 Å, 95.57 90.00 90.00°
Positions (direct):
Th (0.500, 0.793, 0.560)
Th (0.500, 0.815, 0.168)
Th (0.500, 0.207, 0.440)
Th (0.500, 0.185, 0.832)
Hg (0.000, 0.535, 0.333)
Hg (0.000, 0.465, 0.667)
Hg (0.000, 0.158, 0.138)
Hg (0.000, 0.500, 0.000)
Hg (0.000, 0.842, 0.862)
Fe (0.000, 0.089, 0.633)
Fe (0.000, 0.911, 0.367)

***

Record 2
## Th5Fe2Hg2 (PBE)

Data for a relaxed structure of Th5Fe2Hg2.

## Properties
Total magnetic moment   0.0 μB per formula unit
Formation energy   -3.58 kcal/mol of atoms
ρ   11.7 g cm⁻³
Crystal system   orthorhombic
DOS at the Fermi energy   19.17 states/eV/cell

Cell: 7.076 8.313 8.835 Å, 90.00 66.39 90.00°
Positions (direct):
Th (0.240, 0.175, 0.224)
Th (0.000, 0.000, 0.000)
Th (0.463, 0.175, 0.776)
Th (0.260, 0.675, 0.776)
Th (0.740, 0.325, 0.224)
Th (0.760, 0.825, 0.776)
Th (0.963, 0.325, 0.776)
Th (0.537, 0.825, 0.224)
Th (0.500, 0.500, 0.000)
Th (0.037, 0.675, 0.224)
Fe (0.659, 0.107, 0.000)
Fe (0.841, 0.607, 0.000)
Fe (0.159, 0.393, 0.000)
Fe (0.341, 0.893, 0.000)
Hg (0.717, 0.500, 0.565)
Hg (0.283, 0.500, 0.435)
Hg (0.783, 0.000, 0.435)
Hg (0.217, 0.000, 0.565)

***

Record 3
## Th4FeHg (PBE)

Data for a relaxed structure of Th4FeHg.

## Properties
Total magnetic moment   0.0 μB per formula unit
Formation energy   -2.17 kcal/mol of atoms
ρ   11.7 g cm⁻³
Distance to the lowest polymorph of the same formula   0.0 kJ per mole of atoms
Crystal system   monoclinic
DOS at the Fermi energy   13.43 states/eV/cell

Cell: 6.066 6.880 8.193 Å, 90.00 99.50 90.00°
Positions (direct):
Fe (0.339, 0.250, 0.061)
Fe (0.661, 0.750, 0.939)
Th (0.378, 0.009, 0.779)
Th (0.097, 0.750, 0.057)
Th (0.622, 0.509, 0.221)
Th (0.903, 0.250, 0.943)
Th (0.622, 0.991, 0.221)
Th (0.378, 0.491, 0.779)
Th (0.161, 0.250, 0.358)
Th (0.839, 0.750, 0.642)
Hg (0.263, 0.750, 0.440)
Hg (0.737, 0.250, 0.560)

***

Record 4
## Th3FeHg (PBE)

Data for a relaxed structure of Th3FeHg.

## Properties
Total magnetic moment   0.0 μB per formula unit
Formation energy   -2.25 kcal/mol of atoms
ρ   11.2 g cm⁻³
Distance to the lowest polymorph of the same formula   4.5 kJ per mole of atoms
Crystal system   cubic
DOS at the Fermi energy   6.47 states/eV/cell

Cell: 5.206 5.206 5.206 Å, 90.00 90.00 90.00°
Positions (direct):
Fe (0.000, 0.000, 0.000)
Th (0.000, 0.500, 0.000)
Th (0.000, 0.000, 0.500)
Th (0.500, 0.000, 0.000)
Hg (0.500, 0.500, 0.500)